1.
# Y3CdIn2AgAu2 (PBE-GGA, relaxed)
# Final energy: -4.55 eV/atom
# Spin magnetization: 0.029 μB per formula unit
data_Y3CdIn2AgAu2
_symmetry_space_group_name_H-M 'A m m 2'
_symmetry_Int_Tables_number 38
_cell_length_a 3.904
_cell_length_b 13.643
_cell_length_c 7.855
_cell_angle_alpha 90.00
_cell_angle_beta 90.00
_cell_angle_gamma 90.00
loop_
_symmetry_equiv_pos_as_xyz
'x,y,z'
'-x,-y,z'
'-x,y,z'
'x,-y,z'
'x,y+1/2,z+1/2'
'-x,-y+1/2,z+1/2'
'-x,y+1/2,z+1/2'
'x,-y+1/2,z+1/2'
loop_
_atom_site_label
_atom_site_type_symbol
_atom_site_fract_x
_atom_site_fract_y
_atom_site_fract_z
Y1 Y 0.000 0.000 0.000
Y2 Y 0.000 0.202 0.618
Cd1 Cd 0.500 0.000 0.675
In1 In 0.500 0.131 0.282
Ag1 Ag 0.000 0.000 0.412
Au1 Au 0.500 0.167 0.913

=====

2.
# ZrTaAsO (PBE-GGA, relaxed)
# Energy relative to the lowest polymorph listed for this composition: 0.090 eV per atom
# Spin magnetization: 0.004 μB per formula unit
data_ZrTaAsO
_symmetry_space_group_name_H-M 'P m c 21'
_symmetry_Int_Tables_number 26
_cell_length_a 3.478
_cell_length_b 6.018
_cell_length_c 6.339
_cell_angle_alpha 90.00
_cell_angle_beta 90.00
_cell_angle_gamma 90.00
loop_
_symmetry_equiv_pos_as_xyz
'x,y,z'
'-x,-y,z+1/2'
'-x,y,z'
'x,-y,z+1/2'
loop_
_atom_site_label
_atom_site_type_symbol
_atom_site_fract_x
_atom_site_fract_y
_atom_site_fract_z
Zr1 Zr 0.000 0.089 0.000
Ta1 Ta 0.500 0.393 0.683
As1 As 0.000 0.329 0.377
O1 O 0.500 0.287 0.998

=====

3.
# SrHo2Hg3 (PBE-GGA, relaxed)
# Final energy: -2.45 eV/atom
# Spin magnetization: 0.002 μB per formula unit
data_SrHo2Hg3
_symmetry_space_group_name_H-M 'P 4/m m m'
_symmetry_Int_Tables_number 123
_symmetry_space_group_name_Hall '-P 4 2'
_cell_length_a 3.761
_cell_length_b 3.761
_cell_length_c 11.471
_cell_angle_alpha 90.00
_cell_angle_beta 90.00
_cell_angle_gamma 90.00
loop_
_atom_site_label
_atom_site_type_symbol
_atom_site_fract_x
_atom_site_fract_y
_atom_site_fract_z
Sr1 Sr 0.000 0.000 0.000
Ho1 Ho 0.000 0.000 0.342
Hg1 Hg 0.500 0.500 0.193
Hg2 Hg 0.500 0.500 0.500

=====

4.
# AgBiPdSe3 (PBE-GGA, relaxed)
# Final energy: -4.03 eV/atom
data_AgBiPdSe3
_symmetry_space_group_name_H-M 'P 21 21 21'
_symmetry_Int_Tables_number 19
_cell_length_a 5.095
_cell_length_b 8.437
_cell_length_c 14.056
_cell_angle_alpha 90.00
_cell_angle_beta 90.00
_cell_angle_gamma 90.00
loop_
_symmetry_equiv_pos_as_xyz
'x,y,z'
'-x+1/2,-y,z+1/2'
'x+1/2,-y+1/2,-z'
'-x,y+1/2,-z+1/2'
loop_
_atom_site_label
_atom_site_type_symbol
_atom_site_fract_x
_atom_site_fract_y
_atom_site_fract_z
Ag1 Ag 0.049 0.100 0.450
Bi1 Bi 0.083 0.131 0.139
Pd1 Pd 0.019 0.637 0.745
Se1 Se 0.195 0.157 0.914
Se2 Se 0.230 0.381 0.705
Se3 Se 0.245 0.625 0.900

=====

5.
# ErB2Os (PBE-GGA, relaxed)
# Final energy: -7.89 eV/atom
# Spin magnetization: 0.002 μB per formula unit
data_ErB2Os
_symmetry_space_group_name_H-M 'P n m a'
_symmetry_Int_Tables_number 62
_cell_length_a 5.860
_cell_length_b 5.287
_cell_length_c 6.338
_cell_angle_alpha 90.00
_cell_angle_beta 90.00
_cell_angle_gamma 90.00
loop_
_symmetry_equiv_pos_as_xyz
'x,y,z'
'-x,-y,-z'
'-x+1/2,-y,z+1/2'
'x+1/2,y,-z+1/2'
'x+1/2,-y+1/2,-z+1/2'
'-x+1/2,y+1/2,z+1/2'
'-x,y+1/2,-z'
'x,-y+1/2,z'
loop_
_atom_site_label
_atom_site_type_symbol
_atom_site_fract_x
_atom_site_fract_y
_atom_site_fract_z
Er1 Er 0.010 0.250 0.166
B1 B 0.138 0.582 0.462
Os1 Os 0.177 0.250 0.681

=====

6.
# La2PrGa2Ni4 (PBE-GGA, relaxed)
# Final energy: -5.27 eV/atom
# Spin magnetization: 0.001 μB per formula unit
data_La2PrGa2Ni4
_symmetry_space_group_name_H-M 'C 1 2/m 1'
_symmetry_Int_Tables_number 12
_cell_length_a 10.210
_cell_length_b 4.202
_cell_length_c 8.313
_cell_angle_alpha 90.00
_cell_angle_beta 98.78
_cell_angle_gamma 90.00
loop_
_symmetry_equiv_pos_as_xyz
'x,y,z'
'-x,-y,-z'
'-x,y,-z'
'x,-y,z'
'x+1/2,y+1/2,z'
'-x+1/2,-y+1/2,-z'
'-x+1/2,y+1/2,-z'
'x+1/2,-y+1/2,z'
loop_
_atom_site_label
_atom_site_type_symbol
_atom_site_fract_x
_atom_site_fract_y
_atom_site_fract_z
La1 La 0.124 0.000 0.377
Pr1 Pr 0.000 0.500 0.000
Ga1 Ga 0.178 0.000 0.788
Ni1 Ni 0.084 0.500 0.638
Ni2 Ni 0.238 0.000 0.086

=====

7.
# YHfGe (PBE-GGA, relaxed)
# Final energy: -7.29 eV/atom
# Spin magnetization: 0.003 μB per formula unit
data_YHfGe
_symmetry_space_group_name_H-M 'F -4 3 m'
_symmetry_Int_Tables_number 216
_symmetry_space_group_name_Hall 'F -4 2 3'
_cell_length_a 6.623
_cell_length_b 6.623
_cell_length_c 6.623
_cell_angle_alpha 90.00
_cell_angle_beta 90.00
_cell_angle_gamma 90.00
loop_
_atom_site_label
_atom_site_type_symbol
_atom_site_fract_x
_atom_site_fract_y
_atom_site_fract_z
Y1 Y 0.000 0.000 0.000
Hf1 Hf 0.000 0.000 0.500
Ge1 Ge 0.250 0.250 0.750

=====

8.
# Ho2ThNi9 (PBE-GGA, relaxed)
# Formation energy: -0.46 eV/atom
# Spin magnetization: 0.065 μB per formula unit
data_Ho2ThNi9
_symmetry_space_group_name_H-M 'R -3 m'
_symmetry_Int_Tables_number 166
_symmetry_space_group_name_Hall '-R 3 2"'
_cell_length_a 4.9625
_cell_length_b 4.9625
_cell_length_c 24.3842
_cell_angle_alpha 90.00
_cell_angle_beta 90.00
_cell_angle_gamma 120.00
loop_
_atom_site_label
_atom_site_type_symbol
_atom_site_fract_x
_atom_site_fract_y
_atom_site_fract_z
Ho1 Ho 0.0000 0.0000 0.1403
Th1 Th 0.0000 0.0000 0.0000
Ni1 Ni 0.0000 0.0000 0.3332
Ni2 Ni 0.0000 0.0000 0.5000
Ni3 Ni 0.0011 0.5006 0.9166

=====

9.
# Rb2PdBrCl3 (PBE-GGA, relaxed)
# Final energy: -3.38 eV/atom
data_Rb2PdBrCl3
_symmetry_space_group_name_H-M 'A m m 2'
_symmetry_Int_Tables_number 38
_cell_length_a 4.423
_cell_length_b 10.703
_cell_length_c 10.243
_cell_angle_alpha 90.00
_cell_angle_beta 90.00
_cell_angle_gamma 90.00
loop_
_symmetry_equiv_pos_as_xyz
'x,y,z'
'-x,-y,z'
'-x,y,z'
'x,-y,z'
'x,y+1/2,z+1/2'
'-x,-y+1/2,z+1/2'
'-x,y+1/2,z+1/2'
'x,-y+1/2,z+1/2'
loop_
_atom_site_label
_atom_site_type_symbol
_atom_site_fract_x
_atom_site_fract_y
_atom_site_fract_z
Rb1 Rb 0.000 0.239 0.000
Pd1 Pd 0.500 0.000 0.749
Br1 Br 0.500 0.000 0.510
Cl1 Cl 0.500 0.000 0.979
Cl2 Cl 0.500 0.219 0.749

=====

10.
# Cu3SbSe4 (PBE-GGA, relaxed)
# Final energy: -3.84 eV/atom
data_Cu3SbSe4
_symmetry_space_group_name_H-M 'C 1 2 1'
_symmetry_Int_Tables_number 5
_cell_length_a 12.721
_cell_length_b 5.708
_cell_length_c 5.713
_cell_angle_alpha 90.00
_cell_angle_beta 116.64
_cell_angle_gamma 90.00
loop_
_symmetry_equiv_pos_as_xyz
'x,y,z'
'-x,y,-z'
'x+1/2,y+1/2,z'
'-x+1/2,y+1/2,-z'
loop_
_atom_site_label
_atom_site_type_symbol
_atom_site_fract_x
_atom_site_fract_y
_atom_site_fract_z
Cu1 Cu 0.000 0.000 0.000
Cu2 Cu 0.250 0.499 0.251
Sb1 Sb 0.000 0.499 0.500
Se1 Se 0.134 0.767 0.367
Se2 Se 0.135 0.232 0.902

=====

11.
# KCdInAu2 (PBE-GGA, relaxed)
# Final energy: -2.54 eV/atom
data_KCdInAu2
_symmetry_space_group_name_H-M 'I -4 m 2'
_symmetry_Int_Tables_number 119
_symmetry_space_group_name_Hall 'I -4 -2'
_cell_length_a 4.685
_cell_length_b 4.685
_cell_length_c 12.105
_cell_angle_alpha 90.00
_cell_angle_beta 90.00
_cell_angle_gamma 90.00
loop_
_atom_site_label
_atom_site_type_symbol
_atom_site_fract_x
_atom_site_fract_y
_atom_site_fract_z
K1 K 0.000 0.000 0.000
Cd1 Cd 0.000 0.500 0.750
In1 In 0.000 0.500 0.250
Au1 Au 0.000 0.000 0.386

=====

12.
# HfCdCoB (PBE-GGA, relaxed)
# Energy relative to the lowest polymorph listed for this composition: 0.135 eV per atom
# Spin magnetization: 0.001 μB per formula unit
data_HfCdCoB
_symmetry_space_group_name_H-M 'F -4 3 m'
_symmetry_Int_Tables_number 216
_symmetry_space_group_name_Hall 'F -4 2 3'
_cell_length_a 6.125
_cell_length_b 6.125
_cell_length_c 6.125
_cell_angle_alpha 90.00
_cell_angle_beta 90.00
_cell_angle_gamma 90.00
loop_
_atom_site_label
_atom_site_type_symbol
_atom_site_fract_x
_atom_site_fract_y
_atom_site_fract_z
Hf1 Hf 0.000 0.000 0.000
Cd1 Cd 0.250 0.250 0.250
Co1 Co 0.250 0.250 0.750
B1 B 0.000 0.000 0.500

=====

13.
# LaSnAuSe3 (PBE-GGA, relaxed)
# Energy relative to the lowest polymorph listed for this composition: 0.000 eV per atom
# Spin magnetization: 0.008 μB per formula unit
data_LaSnAuSe3
_symmetry_space_group_name_H-M 'C m c m'
_symmetry_Int_Tables_number 63
_symmetry_space_group_name_Hall '-C 2c 2'
_cell_length_a 4.155
_cell_length_b 13.868
_cell_length_c 11.020
_cell_angle_alpha 90.00
_cell_angle_beta 90.00
_cell_angle_gamma 90.00
loop_
_atom_site_label
_atom_site_type_symbol
_atom_site_fract_x
_atom_site_fract_y
_atom_site_fract_z
La1 La 0.000 0.000 0.000
Sn1 Sn 0.000 0.233 0.250
Au1 Au 0.000 0.470 0.750
Se1 Se 0.000 0.095 0.750
Se2 Se 0.000 0.349 0.566

=====

14.
# KHoCoTe3 (PBE-GGA, relaxed)
# Energy relative to the lowest polymorph listed for this composition: 0.000 eV per atom
# Spin magnetization: 1.976 μB per formula unit
data_KHoCoTe3
_symmetry_space_group_name_H-M 'P n m a'
_symmetry_Int_Tables_number 62
_cell_length_a 16.302
_cell_length_b 4.221
_cell_length_c 11.423
_cell_angle_alpha 90.00
_cell_angle_beta 90.00
_cell_angle_gamma 90.00
loop_
_symmetry_equiv_pos_as_xyz
'x,y,z'
'-x,-y,-z'
'-x+1/2,-y,z+1/2'
'x+1/2,y,-z+1/2'
'x+1/2,-y+1/2,-z+1/2'
'-x+1/2,y+1/2,z+1/2'
'-x,y+1/2,-z'
'x,-y+1/2,z'
loop_
_atom_site_label
_atom_site_type_symbol
_atom_site_fract_x
_atom_site_fract_y
_atom_site_fract_z
K1 K 0.232 0.250 0.023
Ho1 Ho 0.022 0.250 0.344
Co1 Co 0.010 0.750 0.084
Te1 Te 0.079 0.750 0.889
Te2 Te 0.104 0.250 0.581
Te3 Te 0.132 0.750 0.233

=====

15.
# ScAgAsO (PBE-GGA, relaxed)
# Energy relative to the lowest polymorph listed for this composition: 0.230 eV per atom
# Spin magnetization: 0.001 μB per formula unit
data_ScAgAsO
_symmetry_space_group_name_H-M 'P m c 21'
_symmetry_Int_Tables_number 26
_cell_length_a 3.384
_cell_length_b 7.869
_cell_length_c 5.762
_cell_angle_alpha 90.00
_cell_angle_beta 90.00
_cell_angle_gamma 90.00
loop_
_symmetry_equiv_pos_as_xyz
'x,y,z'
'-x,-y,z+1/2'
'-x,y,z'
'x,-y,z+1/2'
loop_
_atom_site_label
_atom_site_type_symbol
_atom_site_fract_x
_atom_site_fract_y
_atom_site_fract_z
Sc1 Sc 0.000 0.198 0.000
Ag1 Ag 0.500 0.396 0.511
As1 As 0.000 0.150 0.501
O1 O 0.500 0.319 0.003

=====

16.
# Rb2HfSe3 (PBE-GGA, relaxed)
# Final energy: -5.03 eV/atom
# Spin magnetization: 0.003 μB per formula unit
data_Rb2HfSe3
_symmetry_space_group_name_H-M 'P 1 21/m 1'
_symmetry_Int_Tables_number 11
_cell_length_a 8.325
_cell_length_b 4.041
_cell_length_c 11.070
_cell_angle_alpha 90.00
_cell_angle_beta 95.84
_cell_angle_gamma 90.00
loop_
_symmetry_equiv_pos_as_xyz
'x,y,z'
'-x,-y,-z'
'-x,y+1/2,-z'
'x,-y+1/2,z'
loop_
_atom_site_label
_atom_site_type_symbol
_atom_site_fract_x
_atom_site_fract_y
_atom_site_fract_z
Rb1 Rb 0.082 0.250 0.145
Rb2 Rb 0.248 0.750 0.479
Hf1 Hf 0.404 0.250 0.833
Se1 Se 0.138 0.250 0.701
Se2 Se 0.320 0.750 0.986
Se3 Se 0.457 0.250 0.284

=====

17.
# LiLu2Os (PBE-GGA, relaxed)
# Energy relative to the lowest polymorph listed for this composition: 0.225 eV per atom
# Spin magnetization: 0.001 μB per formula unit
data_LiLu2Os
_symmetry_space_group_name_H-M 'P 63/m m c'
_symmetry_Int_Tables_number 194
_symmetry_space_group_name_Hall '-P 6c 2c'
_cell_length_a 4.8972
_cell_length_b 4.8972
_cell_length_c 8.1242
_cell_angle_alpha 90.00
_cell_angle_beta 90.00
_cell_angle_gamma 120.00
loop_
_atom_site_label
_atom_site_type_symbol
_atom_site_fract_x
_atom_site_fract_y
_atom_site_fract_z
Li1 Li 0.0000 0.0000 0.0000
Lu1 Lu 0.3333 0.6667 0.0838
Os1 Os 0.3333 0.6667 0.7500

=====

18.
# CdGePd2 (PBE-GGA, relaxed)
# Final energy: -4.14 eV/atom
data_CdGePd2
_symmetry_space_group_name_H-M 'F -4 3 m'
_symmetry_Int_Tables_number 216
_symmetry_space_group_name_Hall 'F -4 2 3'
_cell_length_a 6.492
_cell_length_b 6.492
_cell_length_c 6.492
_cell_angle_alpha 90.00
_cell_angle_beta 90.00
_cell_angle_gamma 90.00
loop_
_atom_site_label
_atom_site_type_symbol
_atom_site_fract_x
_atom_site_fract_y
_atom_site_fract_z
Cd1 Cd 0.000 0.000 0.000
Ge1 Ge 0.250 0.250 0.750
Pd1 Pd 0.000 0.000 0.500
Pd2 Pd 0.250 0.250 0.250

=====

19.
# MgAlFeNi (PBE-GGA, relaxed)
# Energy relative to the lowest polymorph listed for this composition: 0.000 eV per atom
# Spin magnetization: 0.531 μB per formula unit
data_MgAlFeNi
_symmetry_space_group_name_H-M 'F -4 3 m'
_symmetry_Int_Tables_number 216
_symmetry_space_group_name_Hall 'F -4 2 3'
_cell_length_a 5.880
_cell_length_b 5.880
_cell_length_c 5.880
_cell_angle_alpha 90.00
_cell_angle_beta 90.00
_cell_angle_gamma 90.00
loop_
_atom_site_label
_atom_site_type_symbol
_atom_site_fract_x
_atom_site_fract_y
_atom_site_fract_z
Mg1 Mg 0.000 0.000 0.000
Al1 Al 0.000 0.000 0.500
Fe1 Fe 0.250 0.250 0.250
Ni1 Ni 0.250 0.250 0.750

=====

20.
# Cs4LiReO6 (PBE-GGA, relaxed)
# Final energy: -5.47 eV/atom
# Spin magnetization: 0.001 μB per formula unit
data_Cs4LiReO6
_symmetry_space_group_name_H-M 'C 1 2/m 1'
_symmetry_Int_Tables_number 12
_cell_length_a 6.749
_cell_length_b 12.008
_cell_length_c 6.575
_cell_angle_alpha 90.00
_cell_angle_beta 118.95
_cell_angle_gamma 90.00
loop_
_symmetry_equiv_pos_as_xyz
'x,y,z'
'-x,-y,-z'
'-x,y,-z'
'x,-y,z'
'x+1/2,y+1/2,z'
'-x+1/2,-y+1/2,-z'
'-x+1/2,y+1/2,-z'
'x+1/2,-y+1/2,z'
loop_
_atom_site_label
_atom_site_type_symbol
_atom_site_fract_x
_atom_site_fract_y
_atom_site_fract_z
Cs1 Cs 0.000 0.166 0.000
Cs2 Cs 0.000 0.328 0.500
Li1 Li 0.000 0.000 0.500
Re1 Re 0.000 0.500 0.000
O1 O 0.161 0.500 0.828
O2 O 0.207 0.390 0.210

=====

Values for calculated volume, Å³/f.u., ordered as above
209.18; 66.35; 162.24; 151.07; 49.10; 176.24; 72.62; 173.35; 242.47; 185.37; 132.82; 57.44; 158.75; 196.50; 76.71; 185.24; 84.37; 68.41; 50.81; 233.14